Record 1
# PBE ScBeIO2, optimized geometry
# **Offset from the most stable computed form**: 0.000 eV per atom
# **Crystal system**: tetragonal
# **DOS(E_F)**: 0.557 states/eV/atom
# **Total energy**: -5.271 eV/atom
data_ScBeIO2
_chemical_formula_sum 'Sc1 Be1 I1 O2'
_cell_length_a 3.973
_cell_length_b 3.973
_cell_length_c 6.243
_cell_angle_alpha 90.00
_cell_angle_beta 90.00
_cell_angle_gamma 90.00
_space_group_name_H-M_alt 'P 1'
_space_group_IT_number 1
loop_
_space_group_symop_operation_xyz
'x,y,z'
loop_
_atom_site_label
_atom_site_type_symbol
_atom_site_fract_x
_atom_site_fract_y
_atom_site_fract_z
Sc1 Sc 0.000 0.000 0.000
O1 O 0.000 0.500 0.000
Be1 Be 0.500 0.500 0.500
O2 O 0.500 0.000 0.000
I1 I 0.000 0.000 0.500

=====

Record 2
# PBE ScBeI2O, optimized geometry
# **Offset from the most stable computed form**: 0.000 eV per atom
# **Crystal system**: tetragonal
# **DOS(E_F)**: 0.428 states/eV/atom
# **Total energy**: -4.395 eV/atom
data_ScBeI2O
_chemical_formula_sum 'Sc1 Be1 I2 O1'
_cell_length_a 5.629
_cell_length_b 5.629
_cell_length_c 3.270
_cell_angle_alpha 90.00
_cell_angle_beta 90.00
_cell_angle_gamma 90.00
_space_group_name_H-M_alt 'P 1'
_space_group_IT_number 1
loop_
_space_group_symop_operation_xyz
'x,y,z'
loop_
_atom_site_label
_atom_site_type_symbol
_atom_site_fract_x
_atom_site_fract_y
_atom_site_fract_z
I1 I 0.500 0.000 0.000
O1 O 0.000 0.000 0.500
Be1 Be 0.000 0.000 0.000
Sc1 Sc 0.500 0.500 0.500
I2 I 0.000 0.500 0.000

=====

Record 3
# PBE ScBeIO2, optimized geometry
# **Offset from the most stable computed form**: 0.236 eV per atom
# **Crystal system**: tetragonal
# **DOS(E_F)**: 0.413 states/eV/atom
# **Total energy**: -5.035 eV/atom
data_ScBeIO2
_chemical_formula_sum 'Sc1 Be1 I1 O2'
_cell_length_a 3.889
_cell_length_b 3.889
_cell_length_c 4.692
_cell_angle_alpha 90.00
_cell_angle_beta 90.00
_cell_angle_gamma 90.00
_space_group_name_H-M_alt 'P 1'
_space_group_IT_number 1
loop_
_space_group_symop_operation_xyz
'x,y,z'
loop_
_atom_site_label
_atom_site_type_symbol
_atom_site_fract_x
_atom_site_fract_y
_atom_site_fract_z
Be1 Be 0.000 0.000 0.000
Sc1 Sc 0.500 0.500 0.500
O1 O 0.000 0.500 0.000
O2 O 0.500 0.000 0.000
I1 I 0.000 0.000 0.500

=====

Record 4
# PBE BeSeIO2, optimized geometry
# **Offset from the most stable computed form**: 0.000 eV per atom
# **Crystal system**: tetragonal
# **DOS(E_F)**: 0.927 states/eV/atom
# **Total energy**: -3.670 eV/atom
data_BeSeIO2
_chemical_formula_sum 'Be1 Se1 I1 O2'
_cell_length_a 3.751
_cell_length_b 3.751
_cell_length_c 6.849
_cell_angle_alpha 90.00
_cell_angle_beta 90.00
_cell_angle_gamma 90.00
_space_group_name_H-M_alt 'P 1'
_space_group_IT_number 1
loop_
_space_group_symop_operation_xyz
'x,y,z'
loop_
_atom_site_label
_atom_site_type_symbol
_atom_site_fract_x
_atom_site_fract_y
_atom_site_fract_z
I1 I 0.000 0.000 0.500
Be1 Be 0.000 0.000 0.000
Se1 Se 0.500 0.500 0.500
O1 O 0.000 0.500 0.000
O2 O 0.500 0.000 0.000

=====

Record 5
# PBE BeSeIO2, optimized geometry
# **Offset from the most stable computed form**: 0.148 eV per atom
# **Crystal system**: tetragonal
# **DOS(E_F)**: 0.617 states/eV/atom
# **Total energy**: -3.522 eV/atom
data_BeSeIO2
_chemical_formula_sum 'Be1 Se1 I1 O2'
_cell_length_a 3.802
_cell_length_b 3.802
_cell_length_c 7.646
_cell_angle_alpha 90.00
_cell_angle_beta 90.00
_cell_angle_gamma 90.00
_space_group_name_H-M_alt 'P 1'
_space_group_IT_number 1
loop_
_space_group_symop_operation_xyz
'x,y,z'
loop_
_atom_site_label
_atom_site_type_symbol
_atom_site_fract_x
_atom_site_fract_y
_atom_site_fract_z
Se1 Se 0.000 0.000 0.000
O1 O 0.000 0.500 0.000
O2 O 0.500 0.000 0.000
I1 I 0.000 0.000 0.500
Be1 Be 0.500 0.500 0.500

=====

Record 6
# PBE BeSeI2O, optimized geometry
# **Offset from the most stable computed form**: 0.991 eV per atom
# **Crystal system**: tetragonal
# **DOS(E_F)**: 0.643 states/eV/atom
# **Total energy**: -2.521 eV/atom
data_BeSeI2O
_chemical_formula_sum 'Be1 Se1 I2 O1'
_cell_length_a 5.832
_cell_length_b 5.832
_cell_length_c 3.809
_cell_angle_alpha 90.00
_cell_angle_beta 90.00
_cell_angle_gamma 90.00
_space_group_name_H-M_alt 'P 1'
_space_group_IT_number 1
loop_
_space_group_symop_operation_xyz
'x,y,z'
loop_
_atom_site_label
_atom_site_type_symbol
_atom_site_fract_x
_atom_site_fract_y
_atom_site_fract_z
I1 I 0.000 0.500 0.000
I2 I 0.500 0.000 0.000
Be1 Be 0.500 0.500 0.500
O1 O 0.000 0.000 0.500
Se1 Se 0.000 0.000 0.000

=====

Record 7
# PBE BeSeI2O, optimized geometry
# **Offset from the most stable computed form**: 0.000 eV per atom
# **Crystal system**: tetragonal
# **DOS(E_F)**: 0.490 states/eV/atom
# **Total energy**: -3.512 eV/atom
data_BeSeI2O
_chemical_formula_sum 'Be1 Se1 I2 O1'
_cell_length_a 6.580
_cell_length_b 6.580
_cell_length_c 2.906
_cell_angle_alpha 90.00
_cell_angle_beta 90.00
_cell_angle_gamma 90.00
_space_group_name_H-M_alt 'P 1'
_space_group_IT_number 1
loop_
_space_group_symop_operation_xyz
'x,y,z'
loop_
_atom_site_label
_atom_site_type_symbol
_atom_site_fract_x
_atom_site_fract_y
_atom_site_fract_z
I1 I 0.000 0.500 0.000
Se1 Se 0.500 0.500 0.500
Be1 Be 0.000 0.000 0.000
I2 I 0.500 0.000 0.000
O1 O 0.000 0.000 0.500

=====

Record 8
# PBE BeSiI2O, optimized geometry
# **Offset from the most stable computed form**: 0.451 eV per atom
# **Crystal system**: tetragonal
# **DOS(E_F)**: 0.319 states/eV/atom
# **Total energy**: -3.370 eV/atom
data_BeSiI2O
_chemical_formula_sum 'Be1 Si1 I2 O1'
_cell_length_a 5.570
_cell_length_b 5.570
_cell_length_c 3.524
_cell_angle_alpha 90.00
_cell_angle_beta 90.00
_cell_angle_gamma 90.00
_space_group_name_H-M_alt 'P 1'
_space_group_IT_number 1
loop_
_space_group_symop_operation_xyz
'x,y,z'
loop_
_atom_site_label
_atom_site_type_symbol
_atom_site_fract_x
_atom_site_fract_y
_atom_site_fract_z
I1 I 0.000 0.500 0.000
Be1 Be 0.500 0.500 0.500
I2 I 0.500 0.000 0.000
Si1 Si 0.000 0.000 0.000
O1 O 0.000 0.000 0.500